No. 1
DFT (GGA-PBE) results for a relaxed Nd3YHo2FeTe2 crystal.

Cell and atoms, written as extended XYZ:
```
9
Lattice="4.0423 0.0000 0.0000 0.0000 7.2963 4.2189 0.0000 -7.2963 4.2189" Properties=species:S:1:pos:R:3 pbc="T T T"
Ho 2.0211 -1.6810 0.9743
Ho 2.0211 1.6810 0.9743
Nd 0.0000 0.0000 3.3901
Nd 0.0000 4.3439 2.5201
Nd 0.0000 -4.3439 2.5201
Y 2.0211 0.0000 6.4606
Te 2.0211 -2.4319 4.2197
Te 2.0211 2.4319 4.2197
Fe 0.0000 0.0000 0.0344
```

Output
* space-group type: Amm2
* VASP energy: -5.5904 eV per atom


No. 2
DFT (GGA-PBE) results for a relaxed Ho3Fe7Ni2 crystal.

Cell and atoms, written as extended XYZ:
```
12
Lattice="-2.5159 -8.2186 -1.2941 0.7810 -8.3090 2.4291 -3.9362 -7.0046 3.3156" Properties=species:S:1:pos:R:3 pbc="T T T"
Fe -2.0443 -9.5917 3.2362
Fe -1.9808 -13.9856 3.0732
Fe -3.6268 -13.9405 1.2144
Fe -1.3352 -10.1979 0.9348
Fe -4.3359 -13.3344 3.5158
Fe -3.6903 -9.5466 1.3773
Fe -2.8356 -11.7661 2.2253
Ho -0.8032 -3.3330 0.6304
Ho 0.0000 0.0000 0.0000
Ho -4.8679 -20.1992 3.8202
Ni -3.7849 -15.7055 2.9703
Ni -1.8862 -7.8268 1.4802
```

Output
* space-group type: R-3m
* VASP energy: -7.0616 eV per atom


No. 3
DFT (GGA-PBE) results for a relaxed HoFe2Ni crystal.

Cell and atoms, written as extended XYZ:
```
12
Lattice="2.4754 1.4292 8.2562 -2.4754 1.4292 8.2562 0.0000 -2.8584 8.2562" Properties=species:S:1:pos:R:3 pbc="T T T"
Ni 0.0000 0.0000 16.5128
Ni 0.0000 0.0000 8.2559
Ni 0.0000 0.0000 12.3843
Fe 0.0000 -1.4356 14.4875
Fe -1.2433 -0.7178 10.2812
Fe 1.2433 -0.7178 10.2812
Fe -1.2433 0.7178 14.4875
Fe 0.0000 1.4356 10.2812
Fe 1.2433 0.7178 14.4875
Ho 0.0000 0.0000 3.5001
Ho 0.0000 0.0000 0.0000
Ho 0.0000 0.0000 21.2685
```

Output
* space-group type: R-3m
* VASP energy: -6.8548 eV per atom


No. 4
DFT (GGA-PBE) results for a relaxed HoFe2Ni3 crystal.

Cell and atoms, written as extended XYZ:
```
6
Lattice="2.4020 -4.2989 0.0000 2.4020 4.2989 0.0000 0.0000 0.0000 3.9991" Properties=species:S:1:pos:R:3 pbc="T T T"
Ni 2.4020 -1.4942 0.0000
Ni 2.4020 1.4942 0.0000
Ni 2.4020 0.0000 1.9995
Ho 0.0000 0.0000 0.0000
Fe 1.2010 -2.1494 1.9995
Fe 1.2010 2.1494 1.9995
```

Output
* space-group type: Cmmm
* VASP energy: -6.5560 eV per atom